--- P ---
# PBE ErThIn, optimized geometry
# - Fermi-level density of states: 3.1 states/eV/f.u.
# - Magnetization: 0.0 μB/f.u.
data_ErThIn
_chemical_formula_sum 'Er4 Th4 In4'
_cell_length_a 4.971
_cell_length_b 11.303
_cell_length_c 6.323
_cell_angle_alpha 90.00
_cell_angle_beta 90.00
_cell_angle_gamma 90.00
_symmetry_space_group_name_H-M 'C m c m'
_symmetry_Int_Tables_number 63
_symmetry_space_group_name_Hall '-C 2c 2'
loop_
_atom_site_label
_atom_site_type_symbol
_atom_site_fract_x
_atom_site_fract_y
_atom_site_fract_z
Er1 Er 0.000 0.083 0.250
Th1 Th 0.000 0.206 0.750
In1 In 0.000 0.500 0.000


--- Q ---
# PBE ErThIn, optimized geometry
# - Fermi-level density of states: 3.9 states/eV/f.u.
# - Magnetization: 0.0 μB/f.u.
data_ErThIn
_chemical_formula_sum 'Er1 Th1 In1'
_cell_length_a 5.3235
_cell_length_b 5.3235
_cell_length_c 3.6121
_cell_angle_alpha 90.00
_cell_angle_beta 90.00
_cell_angle_gamma 120.00
_symmetry_space_group_name_H-M 'P 3 m 1'
_symmetry_Int_Tables_number 156
loop_
_symmetry_equiv_pos_as_xyz
'x,y,z'
'-y,x-y,z'
'-x+y,-x,z'
'-y,-x,z'
'-x+y,y,z'
'x,x-y,z'
loop_
_atom_site_label
_atom_site_type_symbol
_atom_site_fract_x
_atom_site_fract_y
_atom_site_fract_z
Er1 Er 0.0000 0.0000 0.0000
Th1 Th 0.6667 0.3333 0.5445
In1 In 0.3333 0.6667 0.1661


Q comes first in stability; the runner-up is 5.6 kJ/mol of atoms higher.